1.
Material: Rb2InBr3
Method: DFT, PBE
State: optimized geometry

CIF file:
```
data_Rb2InBr3
_space_group_name_H-M_alt 'P 1'
_space_group_IT_number 1
_cell_length_a 8.476
_cell_length_b 8.476
_cell_length_c 8.438
_cell_angle_alpha 99.63
_cell_angle_beta 99.63
_cell_angle_gamma 120.05
loop_
_space_group_symop_operation_xyz
'x,y,z'
loop_
_atom_site_label
_atom_site_type_symbol
_atom_site_fract_x
_atom_site_fract_y
_atom_site_fract_z
_atom_site_occupancy
Br1 Br 0.754 0.747 0.242 1
Br2 Br 0.591 0.925 0.756 1
Br3 Br 0.075 0.409 0.244 1
In1 In 0.000 0.000 0.000 1
Rb1 Rb 0.167 0.833 0.500 1
Br4 Br 0.913 0.586 0.758 1
In2 In 0.666 0.334 0.000 1
Br5 Br 0.414 0.087 0.242 1
Br6 Br 0.253 0.246 0.758 1
Rb2 Rb 0.333 0.667 0.000 1
Rb3 Rb 0.500 0.500 0.500 1
Rb4 Rb 0.833 0.167 0.500 1
```

Summary:
The formation energy from raw total energies comes out at -1.379 eV/atom. For the final energy, the calculation gives -35.9 eV/cell. The value obtained for the density of states at the Fermi level is 0.000 states/eV/f.u. The value obtained for the volume is 494.5 Å³ per cell. Its space group is No. 12. As for the density: 3.529 Mg/m³.


2.
Material: Ho4ErTm2
Method: DFT, PBE
State: optimized geometry

CIF file:
```
data_Ho4ErTm2
_space_group_name_H-M_alt 'P 1'
_space_group_IT_number 1
_cell_length_a 3.535
_cell_length_b 3.536
_cell_length_c 19.711
_cell_angle_alpha 90.00
_cell_angle_beta 90.00
_cell_angle_gamma 120.00
loop_
_space_group_symop_operation_xyz
'x,y,z'
loop_
_atom_site_label
_atom_site_type_symbol
_atom_site_fract_x
_atom_site_fract_y
_atom_site_fract_z
_atom_site_occupancy
Ho1 Ho 0.381 0.762 0.523 1
Tm1 Tm 0.715 0.429 0.097 1
Ho2 Ho 0.048 0.096 0.238 1
Tm2 Tm 0.715 0.430 0.381 1
Er1 Er 0.714 0.429 0.666 1
Ho3 Ho 0.381 0.762 0.809 1
Ho4 Ho 0.048 0.095 0.954 1
```

Summary:
As for the formation enthalpy at 0 K: 0.01 eV per atom. For the final energy, the calculation gives -31.8 eV/cell. The value obtained for the density of states at the Fermi level is 10.014 states/eV/f.u. The value obtained for the volume is 213.4 Å³ per cell. Its space group is No. 156. As for the density: 9.065 Mg/m³.


3.
Material: BaZnIr2
Method: DFT, PBE
State: optimized geometry

CIF file:
```
data_BaZnIr2
_space_group_name_H-M_alt 'P 1'
_space_group_IT_number 1
_cell_length_a 4.297
_cell_length_b 4.309
_cell_length_c 4.309
_cell_angle_alpha 90.00
_cell_angle_beta 90.00
_cell_angle_gamma 90.00
loop_
_space_group_symop_operation_xyz
'x,y,z'
loop_
_atom_site_label
_atom_site_type_symbol
_atom_site_fract_x
_atom_site_fract_y
_atom_site_fract_z
_atom_site_occupancy
Ba1 Ba 0.500 0.000 0.500 1
Ir1 Ir 0.000 0.500 0.500 1
Zn1 Zn 0.500 0.500 0.000 1
Ir2 Ir 0.000 0.000 0.000 1
```

Summary:
As for the formation enthalpy at 0 K: 0.59 eV per atom. For the final energy, the calculation gives -18.6 eV/cell. The value obtained for the density of states at the Fermi level is 4.151 states/eV/f.u. The value obtained for the volume is 79.8 Å³ per cell. Its space group is No. 123. As for the density: 12.220 Mg/m³.